## ScGa2Au2 (PBE)

Data for a geometry-optimized ScGa2Au2 structure.

Space group: P4/mbm, No. 127

Cell: 7.4507 7.4507 3.4619 Å, 90.00 90.00 90.00°
Element x y z (fractional)
Ga (0.3286, 0.1714, 0.5000)
Au (0.1339, 0.3661, 0.0000)
Ga (0.8286, 0.3286, 0.5000)
Ga (0.1714, 0.6714, 0.5000)
Sc (0.5000, 0.5000, 0.0000)
Au (0.3661, 0.8661, 0.0000)
Au (0.8661, 0.6339, 0.0000)
Ga (0.6714, 0.8286, 0.5000)
Sc (0.0000, 0.0000, 0.0000)
Au (0.6339, 0.1339, 0.0000)

***

## Sc2Ga2Au (PBE)

Data for a geometry-optimized Sc2Ga2Au structure.

Space group: C2/m, No. 12

Cell: 4.2650 5.5503 9.1715 Å, 80.23 76.55 67.41°
Element x y z (fractional)
Sc (0.4933, 0.6881, 0.3254)
Ga (0.8641, 0.7085, 0.5632)
Sc (0.6766, 0.7491, 0.8976)
Ga (0.1359, 0.2915, 0.4368)
Ga (0.0390, 0.8132, 0.1088)
Au (0.7802, 0.1064, 0.3332)
Au (0.2198, 0.8936, 0.6668)
Sc (0.3234, 0.2509, 0.1024)
Sc (0.5067, 0.3119, 0.6746)
Ga (0.9610, 0.1868, 0.8912)

***

## ScGa2Au2 (PBE)

Data for a geometry-optimized ScGa2Au2 structure.

Space group: I4/mmm, No. 139

Cell: 3.8780 3.8780 6.9148 Å, 73.71 73.71 90.00°
Element x y z (fractional)
Sc (0.0000, 0.0000, 0.0000)
Ga (0.2500, 0.7500, 0.5000)
Au (0.3942, 0.3942, 0.2116)
Ga (0.7500, 0.2500, 0.5000)
Au (0.6058, 0.6058, 0.7884)

***

## ScGa8Au2 (PBE)

Data for a geometry-optimized ScGa8Au2 structure.

Space group: C2/m, No. 12

Cell: 4.8037 7.0722 7.0722 Å, 73.73 81.35 81.35°
Element x y z (fractional)
Au (0.5639, 0.8621, 0.8621)
Ga (0.7801, 0.6378, 0.2188)
Sc (0.0000, 0.0000, 0.0000)
Ga (0.8794, 0.2522, 0.2522)
Ga (0.7801, 0.2188, 0.6378)
Ga (0.6672, 0.6197, 0.6197)
Au (0.4361, 0.1379, 0.1379)
Ga (0.1206, 0.7478, 0.7478)
Ga (0.2199, 0.7812, 0.3622)
Ga (0.3328, 0.3803, 0.3803)
Ga (0.2199, 0.3622, 0.7812)

***

## Sc4Ga3Au (PBE)

Data for a geometry-optimized Sc4Ga3Au structure.

Space group: Pmm2, No. 25

Cell: 3.5331 4.2559 10.6095 Å, 90.00 90.00 90.00°
Element x y z (fractional)
Sc (0.0000, 0.5000, 0.8539)
Sc (0.5000, 0.0000, 0.6507)
Au (0.5000, 0.5000, 0.0816)
Ga (0.0000, 0.0000, 0.4217)
Sc (0.5000, 0.5000, 0.3497)
Sc (0.0000, 0.0000, 0.1476)
Ga (0.5000, 0.0000, 0.9165)
Ga (0.0000, 0.5000, 0.5784)

***

## Sc2Ga2Au (PBE)

Data for a geometry-optimized Sc2Ga2Au structure.

Space group: P4/mbm, No. 127

Cell: 6.7323 6.7323 4.1681 Å, 90.00 90.00 90.00°
Element x y z (fractional)
Sc (0.8315, 0.3315, 0.5000)
Sc (0.6685, 0.8315, 0.5000)
Au (0.0000, 0.0000, 0.0000)
Ga (0.1329, 0.3671, 0.0000)
Ga (0.8671, 0.6329, 0.0000)
Ga (0.3671, 0.8671, 0.0000)
Ga (0.6329, 0.1329, 0.0000)
Au (0.5000, 0.5000, 0.0000)
Sc (0.1685, 0.6685, 0.5000)
Sc (0.3315, 0.1685, 0.5000)

***

## ScGa3Au3 (PBE)

Data for a geometry-optimized ScGa3Au3 structure.

Space group: R-3, No. 148

Cell: 7.9030 7.9030 7.0961 Å, 56.16 56.16 60.00°
Element x y z (fractional)
Ga (0.5730, 0.2249, 0.3026)
Sc (0.3335, 0.3335, 0.9996)
Au (0.5926, 0.9245, 0.2209)
Au (0.4074, 0.0755, 0.7791)
Au (0.9245, 0.2619, 0.2209)
Au (0.7381, 0.4074, 0.7791)
Au (0.2619, 0.5926, 0.2209)
Ga (0.2249, 0.8995, 0.3026)
Ga (0.8995, 0.5730, 0.3026)
Sc (0.6665, 0.6665, 0.0004)
Ga (0.7751, 0.1005, 0.6974)
Ga (0.4270, 0.7751, 0.6974)
Ga (0.1005, 0.4270, 0.6974)
Au (0.0755, 0.7381, 0.7791)

***

## ScGa3Au3 (PBE)

Data for a geometry-optimized ScGa3Au3 structure.

Space group: Pm-3n, No. 223

Cell: 7.0161 7.0161 7.0161 Å, 90.00 90.00 90.00°
Site moments in Bohr magnetons follow the coordinates.
Element x y z (fractional)
Au (0.5000, 0.0000, 0.2500)  0.01
Au (0.0000, 0.7500, 0.5000)  0.01
Ga (0.5000, 0.2500, 0.0000)  0.00
Ga (0.0000, 0.5000, 0.2500)  0.00
Au (0.7500, 0.5000, 0.0000)  0.01
Sc (0.0000, 0.0000, 0.0000)  0.23
Au (0.5000, 0.0000, 0.7500)  0.01
Ga (0.5000, 0.7500, 0.0000)  0.00
Ga (0.7500, 0.0000, 0.5000)  0.00
Au (0.0000, 0.2500, 0.5000)  0.01
Au (0.2500, 0.5000, 0.0000)  0.01
Ga (0.2500, 0.0000, 0.5000)  0.00
Sc (0.5000, 0.5000, 0.5000)  0.23
Ga (0.0000, 0.5000, 0.7500)  0.00

***

## Sc2Ga2Au3 (PBE)

Data for a geometry-optimized Sc2Ga2Au3 structure.

Space group: C2/m, No. 12

Cell: 4.2139 5.4985 6.2748 Å, 100.24 90.00 112.53°
Element x y z (fractional)
Au (0.2895, 0.5789, 0.1619)
Sc (0.6131, 0.2262, 0.3184)
Au (0.7105, 0.4211, 0.8381)
Sc (0.3869, 0.7738, 0.6816)
Au (0.0000, 0.0000, 0.0000)
Ga (0.8989, 0.7978, 0.3547)
Ga (0.1011, 0.2022, 0.6453)

***

## ScGa2Au8 (PBE)

Data for a geometry-optimized ScGa2Au8 structure.

Space group: P-1, No. 2

Cell: 5.1321 5.1410 8.5335 Å, 63.62 92.93 101.43°
Element x y z (fractional)
Au (0.5734, 0.3764, 0.1894)
Sc (0.5000, 0.0000, 0.0000)
Au (0.4266, 0.6236, 0.8106)
Au (0.8859, 0.4560, 0.7132)
Au (0.3336, 0.2303, 0.6324)
Ga (0.2183, 0.9208, 0.4345)
Au (0.9562, 0.8087, 0.9168)
Au (0.6664, 0.7697, 0.3676)
Au (0.0438, 0.1913, 0.0832)
Ga (0.7817, 0.0792, 0.5655)
Au (0.1141, 0.5440, 0.2868)

***

## Sc4Ga2Au (PBE)

Data for a geometry-optimized Sc4Ga2Au structure.

Space group: R-3m, No. 166

Cell: 4.7307 4.7307 8.1470 Å, 73.12 73.12 60.00°
Element x y z (fractional)
Au (0.0000, 0.0000, 0.0000)
Sc (0.8718, 0.8718, 0.3845)
Ga (0.7520, 0.7520, 0.7441)
Sc (0.3798, 0.3798, 0.8607)
Sc (0.6202, 0.6202, 0.1393)
Sc (0.1282, 0.1282, 0.6155)
Ga (0.2480, 0.2480, 0.2559)

***

## ScGa2Au8 (PBE)

Data for a geometry-optimized ScGa2Au8 structure.

Space group: C2/m, No. 12

Cell: 3.9821 6.8877 7.8058 Å, 105.86 104.78 90.00°
Element x y z (fractional)
Au (0.9651, 0.2803, 0.9301)
Au (0.0349, 0.7197, 0.0699)
Au (0.6758, 0.8928, 0.3517)
Au (0.6102, 0.4501, 0.2204)
Ga (0.7769, 0.3382, 0.5538)
Au (0.3242, 0.1072, 0.6483)
Sc (0.5000, 0.0000, 0.0000)
Au (0.3898, 0.5499, 0.7796)
Ga (0.2231, 0.6618, 0.4462)
Au (0.8607, 0.8290, 0.7215)
Au (0.1393, 0.1710, 0.2785)

***

## Sc8GaAu2 (PBE)

Data for a geometry-optimized Sc8GaAu2 structure.

Space group: Immm, No. 71

Cell: 4.5952 7.4214 8.2614 Å, 116.69 106.15 90.00°
Site moments in Bohr magnetons follow the coordinates.
Element x y z (fractional)
Sc (0.3402, 0.1217, 0.6804)  0.15
Sc (0.3402, 0.5587, 0.6804)  0.15
Sc (0.0000, 0.6971, 0.0000)  0.43
Sc (0.6598, 0.8783, 0.3196)  0.15
Sc (0.8582, 0.8582, 0.7163)  0.41
Sc (0.6598, 0.4413, 0.3196)  0.15
Au (0.1978, 0.6977, 0.3955)  0.01
Sc (0.1418, 0.1418, 0.2837)  0.41
Ga (0.5000, 0.0000, 0.0000)  -0.03
Sc (0.0000, 0.3029, 0.0000)  0.43
Au (0.8022, 0.3023, 0.6045)  0.01

***

## ScGa2Au2 (PBE)

Data for a geometry-optimized ScGa2Au2 structure.

Space group: P4/mbm, No. 127

Cell: 7.4775 7.4775 3.3352 Å, 90.00 90.00 90.00°
Site moments in Bohr magnetons follow the coordinates.
Element x y z (fractional)
Sc (0.0000, 0.0000, 0.0000)  0.27
Sc (0.5000, 0.5000, 0.0000)  0.26
Ga (0.6283, 0.1283, 0.0000)  0.01
Ga (0.1283, 0.3717, 0.0000)  0.01
Au (0.8265, 0.3265, 0.5000)  0.01
Au (0.3265, 0.1735, 0.5000)  0.01
Ga (0.8717, 0.6283, 0.0000)  0.01
Au (0.6735, 0.8265, 0.5000)  0.01
Au (0.1735, 0.6735, 0.5000)  0.01
Ga (0.3717, 0.8717, 0.0000)  0.01

***

## Sc2Ga2Au (PBE)

Data for a geometry-optimized Sc2Ga2Au structure.

Space group: Immm, No. 71

Cell: 4.0590 5.4574 5.4574 Å, 62.56 68.17 68.17°
Element x y z (fractional)
Au (0.0000, 0.0000, 0.0000)
Sc (0.7915, 0.7085, 0.7085)
Sc (0.2085, 0.2915, 0.2915)
Ga (0.5000, 0.2809, 0.7191)
Ga (0.5000, 0.7191, 0.2809)

***

## ScGa2Au2 (PBE)

Data for a geometry-optimized ScGa2Au2 structure.

Space group: R-3m, No. 166

Cell: 4.4702 4.4702 5.8286 Å, 67.45 67.45 59.99°
Element x y z (fractional)
Ga (0.5887, 0.0887, 0.2339)
Sc (0.0000, 0.5000, 0.0000)
Ga (0.4113, 0.9113, 0.7661)
Au (0.7805, 0.2805, 0.6586)
Au (0.2195, 0.7195, 0.3414)

***

## Sc5GaAu (PBE)

Data for a geometry-optimized Sc5GaAu structure.

Space group: C2/c, No. 15

Cell: 5.7712 5.7712 9.4643 Å, 91.36 91.36 89.77°
Element x y z (fractional)
Ga (0.5041, 0.4959, 0.2500)
Sc (0.5577, 0.7576, 0.0031)
Sc (0.0339, 0.6147, 0.1717)
Sc (0.8476, 0.1524, 0.2500)
Ga (0.4959, 0.5041, 0.7500)
Sc (0.7576, 0.5577, 0.5031)
Au (0.0000, 0.0000, 0.0000)
Sc (0.6147, 0.0339, 0.6717)
Au (0.0000, 0.0000, 0.5000)
Sc (0.3853, 0.9661, 0.3283)
Sc (0.1524, 0.8476, 0.7500)
Sc (0.4423, 0.2424, 0.9969)
Sc (0.2424, 0.4423, 0.4969)
Sc (0.9661, 0.3853, 0.8283)

***

## Sc4Ga2Au (PBE)

Data for a geometry-optimized Sc4Ga2Au structure.

Space group: R-3m, No. 166

Cell: 4.5790 4.5790 9.1332 Å, 75.48 75.48 60.00°
Element x y z (fractional)
Sc (0.6194, 0.6194, 0.1418)
Ga (0.0977, 0.0977, 0.7070)
Ga (0.9023, 0.9023, 0.2930)
Au (0.0000, 0.0000, 0.0000)
Sc (0.2027, 0.2027, 0.3920)
Sc (0.3806, 0.3806, 0.8582)
Sc (0.7973, 0.7973, 0.6080)

***

## Sc4GaAu5 (PBE)

Data for a geometry-optimized Sc4GaAu5 structure.

Space group: P4/mmm, No. 123

Cell: 3.4249 3.4249 16.5401 Å, 90.00 90.00 90.00°
Element x y z (fractional)
Sc (0.0000, 0.0000, 0.1907)
Sc (0.0000, 0.0000, 0.8093)
Au (0.5000, 0.5000, 0.2961)
Ga (0.0000, 0.0000, 0.0000)
Au (0.5000, 0.5000, 0.5000)
Sc (0.0000, 0.0000, 0.3971)
Au (0.5000, 0.5000, 0.9010)
Au (0.5000, 0.5000, 0.7039)
Sc (0.0000, 0.0000, 0.6029)
Au (0.5000, 0.5000, 0.0990)

***

## Sc3Ga3Au (PBE)

Data for a geometry-optimized Sc3Ga3Au structure.

Space group: Imm2, No. 44

Cell: 4.3039 3.3756 9.6805 Å, 100.04 102.84 90.00°
Element x y z (fractional)
Ga (0.8496, 0.3496, 0.6992)
Sc (0.0015, 0.0015, 0.0030)
Sc (0.3036, 0.8036, 0.6071)
Au (0.4320, 0.4320, 0.8639)
Ga (0.5692, 0.5692, 0.1383)
Ga (0.1471, 0.6471, 0.2942)
Sc (0.6971, 0.1971, 0.3943)

***

no.,calculated volume (Å³/cell),VASP energy (eV per atom)
1,192,-4.091
2,194,-5.066
3,95,-4.235
4,227,-3.512
5,160,-5.355
6,189,-5.085
7,294,-3.964
8,345,-3.496
9,132,-4.628
10,198,-3.805
11,149,-5.463
12,199,-3.796
13,239,-5.836
14,186,-4.102
15,97,-4.981
16,90,-4.238
17,315,-5.724
18,159,-5.331
19,194,-5.182
20,135,-5.106